(1)
# TcAsSe2N | Alexandria via LeMat-Bulk | GGA-PBEsol | relaxed
# - formation energy (no corrections) (eV per atom) = 0.94
data_TcAsSe2N
_chemical_formula_sum 'Tc1 As1 Se2 N1'
_cell_length_a 4.1715
_cell_length_b 4.1715
_cell_length_c 4.2241
_cell_angle_alpha 90.00
_cell_angle_beta 90.00
_cell_angle_gamma 90.00
_space_group_name_H-M_alt 'P 4/m m m'
_space_group_IT_number 123
_space_group_name_Hall '-P 4 2'
loop_
_atom_site_label
_atom_site_type_symbol
_atom_site_fract_x
_atom_site_fract_y
_atom_site_fract_z
Tc1 Tc 0.0000 0.0000 0.0000
As1 As 0.5000 0.5000 0.0000
Se1 Se 0.0000 0.5000 0.5000
N1 N 0.5000 0.5000 0.5000



(2)
# Li3Ni2O2F3 | Alexandria via LeMat-Bulk | GGA-PBEsol | relaxed
# - formation energy (no corrections) (eV per atom) = -1.94
data_Li3Ni2O2F3
_chemical_formula_sum 'Li6 Ni4 O4 F6'
_cell_length_a 2.8457
_cell_length_b 2.8457
_cell_length_c 20.8843
_cell_angle_alpha 90.00
_cell_angle_beta 90.00
_cell_angle_gamma 90.00
_space_group_name_H-M_alt 'I 4/m m m'
_space_group_IT_number 139
_space_group_name_Hall '-I 4 2'
loop_
_atom_site_label
_atom_site_type_symbol
_atom_site_fract_x
_atom_site_fract_y
_atom_site_fract_z
Li1 Li 0.0000 0.0000 0.0000
Li2 Li 0.0000 0.0000 0.4027
Ni1 Ni 0.0000 0.0000 0.2010
O1 O 0.0000 0.0000 0.3007
F1 F 0.0000 0.0000 0.0947
F2 F 0.0000 0.0000 0.5000



(3)
This record from Alexandria via LeMat-Bulk describes a geometry-optimized CdTcAs2 structure. The functional is GGA-PBEsol.

The structure in CIF format:
```
data_CdTcAs2
_chemical_formula_sum 'Cd1 Tc1 As2'
_cell_length_a 4.4957
_cell_length_b 4.4957
_cell_length_c 3.3010
_cell_angle_alpha 90.00
_cell_angle_beta 90.00
_cell_angle_gamma 90.00
_space_group_name_H-M_alt 'P 4/m m m'
_space_group_IT_number 123
_space_group_name_Hall '-P 4 2'
loop_
_atom_site_label
_atom_site_type_symbol
_atom_site_fract_x
_atom_site_fract_y
_atom_site_fract_z
Cd1 Cd 0.0000 0.0000 0.0000
Tc1 Tc 0.5000 0.5000 0.0000
As1 As 0.0000 0.5000 0.5000
```



(4)
# K5Mo4O14F | Alexandria via LeMat-Bulk | GGA-PBEsol | relaxed
# - formation energy (no corrections) (eV per atom) = -2.15
data_K5Mo4O14F
_chemical_formula_sum 'K20 Mo16 O56 F4'
_cell_length_a 17.7717
_cell_length_b 10.5664
_cell_length_c 8.5000
_cell_angle_alpha 90.00
_cell_angle_beta 98.12
_cell_angle_gamma 90.00
_space_group_name_H-M_alt 'C 1 2/c 1'
_space_group_IT_number 15
loop_
_space_group_symop_operation_xyz
'x,y,z'
'-x,-y,-z'
'-x,y,-z+1/2'
'x,-y,z+1/2'
'x+1/2,y+1/2,z'
'-x+1/2,-y+1/2,-z'
'-x+1/2,y+1/2,-z+1/2'
'x+1/2,-y+1/2,z+1/2'
loop_
_atom_site_label
_atom_site_type_symbol
_atom_site_fract_x
_atom_site_fract_y
_atom_site_fract_z
K1 K 0.0000 0.0655 0.2500
K2 K 0.1123 0.4338 0.2746
K3 K 0.2188 0.1227 0.1455
Mo1 Mo 0.0508 0.2472 0.9266
Mo2 Mo 0.1463 0.2160 0.5894
O1 O 0.0015 0.3173 0.0672
O2 O 0.0601 0.1810 0.6894
O3 O 0.0752 0.0986 0.0051
O4 O 0.1370 0.1684 0.3916
O5 O 0.1380 0.3269 0.9450
O6 O 0.1673 0.3768 0.5970
O7 O 0.2234 0.1375 0.6962
F1 F 0.0000 0.3883 0.7500



(5)
# Tc5Mo | Alexandria via LeMat-Bulk | GGA-PBEsol | relaxed
# - polymorph energy (0 for the lowest one) (eV per atom) = 0.0033
data_Tc5Mo
_chemical_formula_sum 'Tc15 Mo3'
_cell_length_a 4.7325
_cell_length_b 4.7325
_cell_length_c 13.1726
_cell_angle_alpha 90.00
_cell_angle_beta 90.00
_cell_angle_gamma 120.00
_space_group_name_H-M_alt 'R 3 2'
_space_group_IT_number 155
_space_group_name_Hall 'R 3 2"'
loop_
_atom_site_label
_atom_site_type_symbol
_atom_site_fract_x
_atom_site_fract_y
_atom_site_fract_z
Tc1 Tc 0.0000 0.0000 0.1676
Tc2 Tc 0.0000 0.6705 0.0000
Mo1 Mo 0.0000 0.0000 0.5000



(6)
# Cu2SiSbAs | Alexandria via LeMat-Bulk | GGA-PBEsol | relaxed
# - formation energy (no corrections) (eV per atom) = 0.69
data_Cu2SiSbAs
_chemical_formula_sum 'Cu2 Si1 Sb1 As1'
_cell_length_a 4.3609
_cell_length_b 4.3609
_cell_length_c 5.6497
_cell_angle_alpha 90.00
_cell_angle_beta 90.00
_cell_angle_gamma 90.00
_space_group_name_H-M_alt 'P 4/m m m'
_space_group_IT_number 123
_space_group_name_Hall '-P 4 2'
loop_
_atom_site_label
_atom_site_type_symbol
_atom_site_fract_x
_atom_site_fract_y
_atom_site_fract_z
Cu1 Cu 0.0000 0.5000 0.0000
Si1 Si 0.0000 0.0000 0.5000
Sb1 Sb 0.5000 0.5000 0.5000
As1 As 0.5000 0.5000 0.0000



(7)
# ZrScHg2 | Alexandria via LeMat-Bulk | GGA-PBEsol | relaxed
# - polymorph energy (0 for the lowest one) (eV per atom) = 0.0000
data_ZrScHg2
_chemical_formula_sum 'Zr1 Sc1 Hg2'
_cell_length_a 3.1478
_cell_length_b 3.1478
_cell_length_c 8.2635
_cell_angle_alpha 90.00
_cell_angle_beta 90.00
_cell_angle_gamma 90.00
_space_group_name_H-M_alt 'P 4/m m m'
_space_group_IT_number 123
_space_group_name_Hall '-P 4 2'
loop_
_atom_site_label
_atom_site_type_symbol
_atom_site_fract_x
_atom_site_fract_y
_atom_site_fract_z
Zr1 Zr 0.0000 0.0000 0.0000
Sc1 Sc 0.0000 0.0000 0.5000
Hg1 Hg 0.5000 0.5000 0.2541



(8)
# InBIN2 | Alexandria via LeMat-Bulk | GGA-PBEsol | relaxed
# - polymorph energy (0 for the lowest one) (eV per atom) = 0.3811
# - formation energy (no corrections) (eV per atom) = 2.11
data_InBIN2
_chemical_formula_sum 'In1 B1 I1 N2'
_cell_length_a 4.1495
_cell_length_b 4.1495
_cell_length_c 6.3306
_cell_angle_alpha 90.00
_cell_angle_beta 90.00
_cell_angle_gamma 90.00
_space_group_name_H-M_alt 'P 4/m m m'
_space_group_IT_number 123
_space_group_name_Hall '-P 4 2'
loop_
_atom_site_label
_atom_site_type_symbol
_atom_site_fract_x
_atom_site_fract_y
_atom_site_fract_z
In1 In 0.0000 0.0000 0.0000
B1 B 0.5000 0.5000 0.5000
I1 I 0.0000 0.0000 0.5000
N1 N 0.0000 0.5000 0.0000



(9)
# HfAgF2 | Alexandria via LeMat-Bulk | GGA-PBEsol | relaxed
# - formation energy (no corrections) (eV per atom) = -1.05
data_HfAgF2
_chemical_formula_sum 'Hf4 Ag4 F8'
_cell_length_a 5.9758
_cell_length_b 5.9758
_cell_length_c 5.9758
_cell_angle_alpha 90.00
_cell_angle_beta 90.00
_cell_angle_gamma 90.00
_space_group_name_H-M_alt 'F m -3 m'
_space_group_IT_number 225
_space_group_name_Hall '-F 4 2 3'
loop_
_atom_site_label
_atom_site_type_symbol
_atom_site_fract_x
_atom_site_fract_y
_atom_site_fract_z
Hf1 Hf 0.0000 0.0000 0.0000
Ag1 Ag 0.0000 0.0000 0.5000
F1 F 0.2500 0.2500 0.2500



(10)
# ZnCuBr | Alexandria via LeMat-Bulk | GGA-PBEsol | relaxed
# - formation energy (no corrections) (eV per atom) = 0.01
data_ZnCuBr
_chemical_formula_sum 'Zn1 Cu1 Br1'
_cell_length_a 3.4320
_cell_length_b 3.4320
_cell_length_c 5.2511
_cell_angle_alpha 90.00
_cell_angle_beta 90.00
_cell_angle_gamma 120.00
_space_group_name_H-M_alt 'P 3 m 1'
_space_group_IT_number 156
loop_
_space_group_symop_operation_xyz
'x,y,z'
'-y,x-y,z'
'-x+y,-x,z'
'-y,-x,z'
'-x+y,y,z'
'x,x-y,z'
loop_
_atom_site_label
_atom_site_type_symbol
_atom_site_fract_x
_atom_site_fract_y
_atom_site_fract_z
Zn1 Zn 0.0000 0.0000 0.0000
Cu1 Cu 0.6667 0.3333 0.2837
Br1 Br 0.3333 0.6667 0.6023



(11)
This record from Alexandria via LeMat-Bulk describes a geometry-optimized Sc2AlCo structure. The functional is GGA-PBEsol.

The structure in CIF format:
```
data_Sc2AlCo
_chemical_formula_sum 'Sc8 Al4 Co4'
_cell_length_a 7.3083
_cell_length_b 7.3083
_cell_length_c 5.3219
_cell_angle_alpha 90.00
_cell_angle_beta 90.00
_cell_angle_gamma 90.00
_space_group_name_H-M_alt 'I -4 2 d'
_space_group_IT_number 122
_space_group_name_Hall 'I -4 2bw'
loop_
_atom_site_label
_atom_site_type_symbol
_atom_site_fract_x
_atom_site_fract_y
_atom_site_fract_z
Sc1 Sc 0.1922 0.7500 0.1250
Al1 Al 0.0000 0.0000 0.5000
Co1 Co 0.0000 0.0000 0.0000
```



(12)
This record from Alexandria via LeMat-Bulk describes a geometry-optimized Li2PIr structure. The functional is GGA-PBEsol.

The structure in CIF format:
```
data_Li2PIr
_chemical_formula_sum 'Li4 P2 Ir2'
_cell_length_a 4.0430
_cell_length_b 2.8282
_cell_length_c 9.6860
_cell_angle_alpha 90.00
_cell_angle_beta 90.00
_cell_angle_gamma 90.00
_space_group_name_H-M_alt 'A m m 2'
_space_group_IT_number 38
loop_
_space_group_symop_operation_xyz
'x,y,z'
'-x,-y,z'
'-x,y,z'
'x,-y,z'
'x,y+1/2,z+1/2'
'-x,-y+1/2,z+1/2'
'-x,y+1/2,z+1/2'
'x,-y+1/2,z+1/2'
loop_
_atom_site_label
_atom_site_type_symbol
_atom_site_fract_x
_atom_site_fract_y
_atom_site_fract_z
Li1 Li 0.0000 0.0000 0.0000
Li2 Li 0.5000 0.0000 0.3538
P1 P 0.0000 0.0000 0.7270
Ir1 Ir 0.5000 0.0000 0.6247
```



Number 1: E -5.58 eV/atom. Number 2: E -5.39 eV/atom. Number 3: E -5.27 eV/atom. Number 4: E -7.49 eV/atom. Number 5: E -11.28 eV/atom. Number 6: E -4.12 eV/atom. Number 7: E -4.60 eV/atom. Number 8: E -3.65 eV/atom. Number 9: E -5.46 eV/atom. Number 10: E -2.59 eV/atom. Number 11: E -6.25 eV/atom. Number 12: E -5.27 eV/atom.